Entry 1:
# InAg7Au3, relaxed, DFT PBE
data_InAg7Au3
_chemical_formula_sum 'In2 Ag14 Au6'
_space_group_name_H-M_alt 'C 1 2/m 1'
_space_group_IT_number 12
_space_group_name_Hall '-C 2y'
_cell_length_a 9.712
_cell_length_b 10.139
_cell_length_c 5.155
_cell_angle_alpha 90.00
_cell_angle_beta 118.55
_cell_angle_gamma 90.00
loop_
_atom_site_label
_atom_site_type_symbol
_atom_site_fract_x
_atom_site_fract_y
_atom_site_fract_z
In1 In 0.000 0.000 0.000
Ag1 Ag 0.000 0.000 0.500
Ag2 Ag 0.171 0.263 0.172
Ag3 Ag 0.176 0.500 0.647
Au1 Au 0.000 0.267 0.500
Au2 Au 0.000 0.500 0.000
# calculated total energy: -2.83 eV/atom
# D(E_F): 5.99 states/eV/cell
# total magnetic moment: 0.000 Bohr magnetons per cell

Entry 2:
# In2Ag7Au3, relaxed, DFT PBE
data_In2Ag7Au3
_chemical_formula_sum 'In2 Ag7 Au3'
_space_group_name_H-M_alt 'P -1'
_space_group_IT_number 2
_space_group_name_Hall '-P 1'
_cell_length_a 4.004
_cell_length_b 4.128
_cell_length_c 14.926
_cell_angle_alpha 90.55
_cell_angle_beta 97.42
_cell_angle_gamma 90.08
loop_
_atom_site_label
_atom_site_type_symbol
_atom_site_fract_x
_atom_site_fract_y
_atom_site_fract_z
In1 In 0.144 0.497 0.287
Ag1 Ag 0.073 0.000 0.148
Ag2 Ag 0.214 0.999 0.427
Ag3 Ag 0.428 0.499 0.856
Ag4 Ag 0.500 0.000 0.000
Au1 Au 0.000 0.500 0.000
Au2 Au 0.288 0.501 0.576
# calculated total energy: -2.92 eV/atom
# D(E_F): 3.75 states/eV/cell
# total magnetic moment: 0.000 Bohr magnetons per cell

Entry 3:
# In2AgAu7, relaxed, DFT PBE
data_In2AgAu7
_chemical_formula_sum 'In4 Ag2 Au14'
_space_group_name_H-M_alt 'C m m m'
_space_group_IT_number 65
_space_group_name_Hall '-C 2 2'
_cell_length_a 7.563
_cell_length_b 15.123
_cell_length_c 4.120
_cell_angle_alpha 90.00
_cell_angle_beta 90.00
_cell_angle_gamma 90.00
loop_
_atom_site_label
_atom_site_type_symbol
_atom_site_fract_x
_atom_site_fract_y
_atom_site_fract_z
In1 In 0.000 0.190 0.000
Ag1 Ag 0.000 0.500 0.500
Au1 Au 0.000 0.000 0.000
Au2 Au 0.000 0.308 0.500
Au3 Au 0.188 0.403 0.000
# calculated total energy: -3.09 eV/atom
# D(E_F): 6.19 states/eV/cell
# total magnetic moment: 0.000 Bohr magnetons per cell

Entry 4:
# In2Ag2Au3, relaxed, DFT PBE
data_In2Ag2Au3
_chemical_formula_sum 'In2 Ag2 Au3'
_space_group_name_H-M_alt 'P -1'
_space_group_IT_number 2
_space_group_name_Hall '-P 1'
_cell_length_a 4.245
_cell_length_b 5.219
_cell_length_c 6.729
_cell_angle_alpha 81.55
_cell_angle_beta 89.40
_cell_angle_gamma 66.23
loop_
_atom_site_label
_atom_site_type_symbol
_atom_site_fract_x
_atom_site_fract_y
_atom_site_fract_z
In1 In 0.078 0.345 0.230
Ag1 Ag 0.358 0.782 0.072
Au1 Au 0.216 0.071 0.655
Au2 Au 0.500 0.500 0.500
# calculated total energy: -3.09 eV/atom
# D(E_F): 2.11 states/eV/cell
# total magnetic moment: 0.000 Bohr magnetons per cell

Entry 5:
# InAgAu2, relaxed, DFT PBE
data_InAgAu2
_chemical_formula_sum 'In1 Ag1 Au2'
_space_group_name_H-M_alt 'P 4/m m m'
_space_group_IT_number 123
_space_group_name_Hall '-P 4 2'
_cell_length_a 4.494
_cell_length_b 4.494
_cell_length_c 3.772
_cell_angle_alpha 90.00
_cell_angle_beta 90.00
_cell_angle_gamma 90.00
loop_
_atom_site_label
_atom_site_type_symbol
_atom_site_fract_x
_atom_site_fract_y
_atom_site_fract_z
In1 In 0.000 0.000 0.000
Ag1 Ag 0.500 0.500 0.000
Au1 Au 0.000 0.500 0.500
# calculated total energy: -3.15 eV/atom
# D(E_F): 0.89 states/eV/cell
# total magnetic moment: 0.000 Bohr magnetons per cell

Entry 6:
# In2AgAu, relaxed, DFT PBE
data_In2AgAu
_chemical_formula_sum 'In6 Ag3 Au3'
_space_group_name_H-M_alt 'R 3 m'
_space_group_IT_number 160
_space_group_name_Hall 'R 3 -2"'
_cell_length_a 3.2916
_cell_length_b 3.2916
_cell_length_c 27.5989
_cell_angle_alpha 90.00
_cell_angle_beta 90.00
_cell_angle_gamma 120.00
loop_
_atom_site_label
_atom_site_type_symbol
_atom_site_fract_x
_atom_site_fract_y
_atom_site_fract_z
In1 In 0.0000 0.0000 0.0000
In2 In 0.0000 0.0000 0.2383
Ag1 Ag 0.0000 0.0000 0.4898
Au1 Au 0.0000 0.0000 0.7454
# calculated total energy: -2.89 eV/atom
# D(E_F): 4.80 states/eV/cell
# total magnetic moment: 0.000 Bohr magnetons per cell

Entry 7:
# InAg3Au8, relaxed, DFT PBE
data_InAg3Au8
_chemical_formula_sum 'In1 Ag3 Au8'
_space_group_name_H-M_alt 'P 1 2/m 1'
_space_group_IT_number 10
_space_group_name_Hall '-P 2y'
_cell_length_a 5.085
_cell_length_b 6.026
_cell_length_c 7.158
_cell_angle_alpha 90.00
_cell_angle_beta 90.24
_cell_angle_gamma 90.00
loop_
_atom_site_label
_atom_site_type_symbol
_atom_site_fract_x
_atom_site_fract_y
_atom_site_fract_z
In1 In 0.000 0.000 0.000
Ag1 Ag 0.000 0.500 0.000
Ag2 Ag 0.334 0.500 0.332
Au1 Au 0.167 0.254 0.666
Au2 Au 0.333 0.000 0.335
Au3 Au 0.500 0.253 0.000
# calculated total energy: -3.18 eV/atom
# D(E_F): 4.24 states/eV/cell
# total magnetic moment: 0.000 Bohr magnetons per cell

Entry 8:
# In6AgAu12, relaxed, DFT PBE
data_In6AgAu12
_chemical_formula_sum 'In18 Ag3 Au36'
_space_group_name_H-M_alt 'R -3'
_space_group_IT_number 148
_space_group_name_Hall '-R 3'
_cell_length_a 10.2921
_cell_length_b 10.2921
_cell_length_c 13.4807
_cell_angle_alpha 90.00
_cell_angle_beta 90.00
_cell_angle_gamma 120.00
loop_
_atom_site_label
_atom_site_type_symbol
_atom_site_fract_x
_atom_site_fract_y
_atom_site_fract_z
In1 In 0.0483 0.5561 0.3097
Ag1 Ag 0.0000 0.0000 0.0000
Au1 Au 0.0318 0.5524 0.1018
Au2 Au 0.0640 0.1838 0.8380
# calculated total energy: -3.14 eV/atom
# D(E_F): 14.89 states/eV/cell
# total magnetic moment: 0.000 Bohr magnetons per cell

Entry 9:
# InAgAu2, relaxed, DFT PBE
data_InAgAu2
_chemical_formula_sum 'In3 Ag3 Au6'
_space_group_name_H-M_alt 'R 3 m'
_space_group_IT_number 160
_space_group_name_Hall 'R 3 -2"'
_cell_length_a 3.3672
_cell_length_b 3.3672
_cell_length_c 24.9890
_cell_angle_alpha 90.00
_cell_angle_beta 90.00
_cell_angle_gamma 120.00
loop_
_atom_site_label
_atom_site_type_symbol
_atom_site_fract_x
_atom_site_fract_y
_atom_site_fract_z
In1 In 0.0000 0.0000 0.0000
Ag1 Ag 0.0000 0.0000 0.7535
Au1 Au 0.0000 0.0000 0.2508
Au2 Au 0.0000 0.0000 0.5025
# calculated total energy: -3.00 eV/atom
# D(E_F): 3.36 states/eV/cell
# total magnetic moment: 0.000 Bohr magnetons per cell

Entry 10:
# In3Ag2Au8, relaxed, DFT PBE
data_In3Ag2Au8
_chemical_formula_sum 'In6 Ag4 Au16'
_space_group_name_H-M_alt 'C 1 2/m 1'
_space_group_IT_number 12
_space_group_name_Hall '-C 2y'
_cell_length_a 10.664
_cell_length_b 9.773
_cell_length_c 5.299
_cell_angle_alpha 90.00
_cell_angle_beta 111.90
_cell_angle_gamma 90.00
loop_
_atom_site_label
_atom_site_type_symbol
_atom_site_fract_x
_atom_site_fract_y
_atom_site_fract_z
In1 In 0.000 0.000 0.000
In2 In 0.000 0.255 0.500
Ag1 Ag 0.211 0.500 0.876
Au1 Au 0.071 0.500 0.292
Au2 Au 0.146 0.000 0.553
Au3 Au 0.172 0.253 0.172
# calculated total energy: -3.15 eV/atom
# D(E_F): 7.88 states/eV/cell
# total magnetic moment: 0.000 Bohr magnetons per cell

Entry 11:
# InAg2Au, relaxed, DFT PBE
data_InAg2Au
_chemical_formula_sum 'In2 Ag4 Au2'
_space_group_name_H-M_alt 'P 1 21/m 1'
_space_group_IT_number 11
_space_group_name_Hall '-P 2yb'
_cell_length_a 3.054
_cell_length_b 9.383
_cell_length_c 5.606
_cell_angle_alpha 90.00
_cell_angle_beta 104.94
_cell_angle_gamma 90.00
loop_
_atom_site_label
_atom_site_type_symbol
_atom_site_fract_x
_atom_site_fract_y
_atom_site_fract_z
In1 In 0.025 0.250 0.045
Ag1 Ag 0.363 0.019 0.739
Au1 Au 0.245 0.750 0.490
# calculated total energy: -2.98 eV/atom
# D(E_F): 1.19 states/eV/cell
# total magnetic moment: 0.000 Bohr magnetons per cell

Entry 12:
# In2Ag7Au, relaxed, DFT PBE
data_In2Ag7Au
_chemical_formula_sum 'In4 Ag14 Au2'
_space_group_name_H-M_alt 'C m m m'
_space_group_IT_number 65
_space_group_name_Hall '-C 2 2'
_cell_length_a 8.830
_cell_length_b 16.642
_cell_length_c 2.992
_cell_angle_alpha 90.00
_cell_angle_beta 90.00
_cell_angle_gamma 90.00
loop_
_atom_site_label
_atom_site_type_symbol
_atom_site_fract_x
_atom_site_fract_y
_atom_site_fract_z
In1 In 0.000 0.178 0.000
Ag1 Ag 0.000 0.000 0.000
Ag2 Ag 0.000 0.323 0.500
Ag3 Ag 0.227 0.411 0.000
Au1 Au 0.000 0.500 0.500
# calculated total energy: -2.74 eV/atom
# D(E_F): 8.45 states/eV/cell
# total magnetic moment: 0.000 Bohr magnetons per cell